Record 1
A geometry-optimized MoAs5 structure, computed with PBE.

Calculated values
**DFT formation energy**: 224 meV/atom
**Size of the total moment**: 0.0 μB per cell
**VASP energy**: -32.7 eV/cell

Cell lengths 3.223, 3.223, 10.436 Å; angles 90.00, 90.00, 90.00 degrees
Space group P4/mmm (No. 123)
One atom of each set of equivalent atoms:
Mo 0.000 0.000 0.000
As 0.000 0.000 0.338
As 0.500 0.500 0.138
As 0.500 0.500 0.500

=====

Record 2
A geometry-optimized Mo3As structure, computed with PBE.

Calculated values
**DFT formation energy**: 101 meV/atom
**Size of the total moment**: 0.0 μB per cell
**VASP energy**: -36.7 eV/cell

Cell lengths 2.979, 4.179, 5.078 Å; angles 90.00, 90.52, 90.00 degrees
Space group P2/m (No. 10)
One atom of each set of equivalent atoms:
Mo 0.000 0.000 0.000
Mo 0.488 0.500 0.747
As 0.000 0.000 0.500

=====

Record 3
A geometry-optimized Mo2AsN structure, computed with PBE.

Calculated values
**Size of the total moment**: 0.0 μB per cell
**VASP energy**: -135.5 eV/cell
**Uncorrected formation energy**: 190 meV/atom

Cell lengths 4.883, 4.883, 11.230 Å; angles 90.00, 90.00, 90.00 degrees
Space group I-42d (No. 122)
One atom of each set of equivalent atoms:
Mo 0.153 0.250 0.125
As 0.000 0.000 0.500
N 0.000 0.000 0.000

=====

Record 4
A geometry-optimized MoAs3N structure, computed with PBE.

Calculated values
**Size of the total moment**: 2.1 μB per cell
**VASP energy**: -26.4 eV/cell
**Uncorrected formation energy**: 1342 meV/atom

Cell lengths 4.876, 4.876, 4.876 Å; angles 90.00, 90.00, 90.00 degrees
Space group Pm-3m (No. 221)
One atom of each set of equivalent atoms:
Mo 0.000 0.000 0.000
As 0.000 0.000 0.500
N 0.500 0.500 0.500

=====

Record 5
A geometry-optimized MoAs3N structure, computed with PBE.

Calculated values
**Size of the total moment**: 1.7 μB per cell
**VASP energy**: -28.9 eV/cell
**Uncorrected formation energy**: 841 meV/atom

Cell lengths 4.257, 4.257, 4.257 Å; angles 90.00, 90.00, 90.00 degrees
Space group Pm-3m (No. 221)
One atom of each set of equivalent atoms:
Mo 0.000 0.000 0.000
As 0.000 0.500 0.500
N 0.500 0.500 0.500

=====

Record 6
A geometry-optimized Mo2AsN structure, computed with PBE.

Calculated values
**Size of the total moment**: 0.0 μB per cell
**VASP energy**: -129.4 eV/cell
**Uncorrected formation energy**: 570 meV/atom

Cell lengths 5.938, 5.938, 5.938 Å; angles 90.00, 90.00, 90.00 degrees
Space group Fm-3m (No. 225)
One atom of each set of equivalent atoms:
Mo 0.250 0.250 0.250
As 0.000 0.000 0.000
N 0.000 0.000 0.500

=====

Record 7
A geometry-optimized MoAs2N structure, computed with PBE.

Calculated values
**Size of the total moment**: 0.0 μB per cell
**VASP energy**: -102.8 eV/cell
**Uncorrected formation energy**: 690 meV/atom

Cell lengths 5.586, 5.586, 8.343 Å; angles 90.00, 90.00, 90.00 degrees
Space group I-42d (No. 122)
One atom of each set of equivalent atoms:
Mo 0.000 0.000 0.000
As 0.189 0.250 0.625
N 0.000 0.000 0.500

=====

Record 8
A geometry-optimized PaMoAsN structure, computed with PBE.

Calculated values
**Size of the total moment**: 0.0 μB per cell
**VASP energy**: -74.9 eV/cell
**Uncorrected formation energy**: -1032 meV/atom

Cell lengths 3.915, 3.915, 8.795 Å; angles 90.00, 90.00, 90.00 degrees
Space group P4/nmm (No. 129, origin choice 2)
One atom of each set of equivalent atoms:
Pa 0.250 0.250 0.137
Mo 0.250 0.750 0.500
As 0.250 0.250 0.694
N 0.250 0.750 0.000